# Er3Cd2Pt

A relaxed Er3Cd2Pt crystal (PBE, Alexandria).

abc: 5.0960 5.0960 6.2927
angles: 90.00 90.00 120.00
Last column: nearest neighbours and their distance in Å.
Fractional positions:
Er 0.0000 0.0000 0.0000  6 Cd 3.08, 2 Pt 3.15
Er 0.3333 0.6667 0.6436  3 Pt 3.08, 5 Cd 3.14-3.24
Er 0.6667 0.3333 0.3564  3 Pt 3.08, 5 Cd 3.14-3.24
Cd 0.3333 0.6667 0.1421  8 Er 3.08-3.24, 3 Cd 3.44
Cd 0.6667 0.3333 0.8579  8 Er 3.08-3.24, 3 Cd 3.44
Pt 0.0000 0.0000 0.5000  8 Er 3.08-3.15

Calculated values
- SG: P-3m1, No. 164
- E_form: -0.62 eV per atom

***

# AgBr3F

A relaxed AgBr3F crystal (PBE, Alexandria).

abc: 5.2534 5.2534 5.2534
angles: 90.00 90.00 90.00
Last column: nearest neighbours and their distance in Å.
Fractional positions:
Ag 0.0000 0.0000 0.0000  6 Br 2.63
Br 0.0000 0.0000 0.5000  2 Ag 2.63
Br 0.0000 0.5000 0.0000  2 Ag 2.63
Br 0.5000 0.0000 0.0000  2 Ag 2.63
F 0.5000 0.5000 0.5000  12 Br 3.71

Calculated values
- E_form (uncorrected): 0.1737 eV/atom
- SG: Pm-3m, No. 221

***

Number 1: electronic total energy -4.2098 eV/atom, energy above the lowest structure with this stoichiometry 0.0 meV/atom, D(E_F) 4.2 states/eV per cell. Number 2: electronic total energy -1.7746 eV/atom, energy above the lowest structure with this stoichiometry 499.8 meV/atom, D(E_F) 9.6 states/eV per cell.